{
  "formula": "LiPmSc2Tl4",
  "functional": "PBE",
  "state": "relaxed",
  "lattice_angstrom": [[2.563, 1.480, 8.662], [-2.563, 1.480, 8.662], [0.000, -2.960, 8.662]],
  "species": ["Li", "Pm", "Sc", "Sc", "Tl", "Tl", "Tl", "Tl"],
  "fractional_positions": [[0.000, 0.000, 0.000], [0.500, 0.500, 0.500], [0.254, 0.254, 0.254], [0.746, 0.746, 0.746], [0.119, 0.119, 0.119], [0.371, 0.371, 0.371], [0.629, 0.629, 0.629], [0.881, 0.881, 0.881]],
  "formation_energy_ev_per_fu": -2.228,
  "final_energy_ev_per_atom": -3.88,
  "space_group": "R-3m"
}